# 1
Compound: NaSrDy2S4
Source: Alexandria via LeMat-Bulk
Functional: PBE
Structure: optimized geometry

a b c (Å): 4.000 7.164 6.894
angles (deg): 71.23 90.00 90.00
Sites, in units of the cell vectors:
Na  0.000  0.500  0.500
S  0.000  0.770  0.740
S  0.500  0.772  0.244
S  0.500  0.228  0.756
S  0.000  0.230  0.260
Dy  0.000  0.000  0.000
Dy  0.500  0.000  0.500
Sr  0.500  0.500  0.000

## Properties
DOS(E_F) in states/eV/cell: 2.637
Calculated volume in Å³ per cell: 187.1
Raw formation energy in eV/atom: -1.949
Crystal system: monoclinic

=====

# 2
Compound: Dy4InCu2Ru
Source: Alexandria via LeMat-Bulk
Functional: PBE
Structure: optimized geometry

a b c (Å): 5.005 5.005 8.653
angles (deg): 73.19 73.19 60.00
Sites, in units of the cell vectors:
In  0.000  0.000  0.000
Dy  0.132  0.132  0.603
Dy  0.385  0.385  0.845
Dy  0.868  0.868  0.397
Dy  0.615  0.615  0.155
Cu  0.742  0.742  0.773
Cu  0.258  0.258  0.227
Ru  0.500  0.500  0.500

## Properties
Formation energy from the elements in eV/f.u.: -2.85
DOS(E_F) in states/eV/cell: 4.477
Calculated volume in Å³ per cell: 177.0
Crystal system: trigonal

=====

Number 1: total magnetization 0.0 μB/f.u.. Number 2: total magnetization 0.0 μB/f.u..